Entry 1:
A relaxed SrCu2SbAs crystal, computed with PBE.

Structure (POSCAR):
```
SrCu2SbAs
1.0
-3.069 0.731 3.148
-3.231 -0.582 -3.014
-0.195 -10.182 2.176
As Sr Sb Cu
2 2 2 4
direct
0.500 0.500 0.500 As
0.000 0.000 0.500 As
0.000 0.500 0.260 Sr
0.500 0.000 0.740 Sr
0.000 0.500 0.862 Sb
0.500 0.000 0.138 Sb
0.000 0.500 0.611 Cu
0.500 0.000 0.389 Cu
0.500 0.500 0.000 Cu
0.000 0.000 0.000 Cu
```

Output
space group	No. 129

Entry 2:
A relaxed LaGeAuSe2S crystal, computed with PBE.

Structure (POSCAR):
```
LaGeAuSe2S
1.0
2.015 -6.717 0.000
2.015 6.717 0.000
0.000 0.000 10.800
Se La Au Ge S
4 2 2 2 2
direct
0.841 0.159 0.076 Se
0.159 0.841 0.576 Se
0.159 0.841 0.924 Se
0.841 0.159 0.424 Se
0.500 0.500 0.000 La
0.500 0.500 0.500 La
0.021 0.979 0.750 Au
0.979 0.021 0.250 Au
0.270 0.730 0.250 Ge
0.730 0.270 0.750 Ge
0.595 0.405 0.250 S
0.405 0.595 0.750 S
```

Output
space group	No. 63
spin magnetization	0.007	μB per formula unit

Entry 3:
A relaxed HfMoAs crystal, computed with PBE.

Structure (POSCAR):
```
HfMoAs
1.0
0.000 3.061 3.061
3.061 0.000 3.061
3.061 3.061 0.000
Mo Hf As
1 1 1
direct
0.750 0.750 0.750 Mo
0.250 0.250 0.250 Hf
0.000 0.000 0.000 As
```

Output
space group	No. 216
spin magnetization	0.022	μB per formula unit

Entry 4:
A relaxed RbPrZnTe3 crystal, computed with PBE.

Structure (POSCAR):
```
RbPrZnTe3
1.0
-0.562 10.451 -3.659
-1.870 1.293 3.981
15.554 3.048 6.317
Rb Pr Zn Te
4 4 4 12
direct
0.538 0.250 0.319 Rb
0.962 0.750 0.819 Rb
0.038 0.250 0.181 Rb
0.462 0.750 0.681 Rb
0.325 0.250 0.942 Pr
0.825 0.250 0.558 Pr
0.675 0.750 0.058 Pr
0.175 0.750 0.442 Pr
0.668 0.250 0.870 Zn
0.832 0.750 0.370 Zn
0.168 0.250 0.630 Zn
0.332 0.750 0.130 Zn
0.976 0.250 0.394 Te
0.524 0.750 0.894 Te
0.278 0.750 0.278 Te
0.778 0.750 0.222 Te
0.222 0.250 0.778 Te
0.476 0.250 0.106 Te
0.166 0.750 0.019 Te
0.834 0.250 0.981 Te
0.334 0.250 0.519 Te
0.024 0.750 0.606 Te
0.666 0.750 0.481 Te
0.722 0.250 0.722 Te
```

Output
energy relative to the lowest polymorph listed for this composition	82	meV per atom
space group	No. 62
spin magnetization	0.004	μB per formula unit

Entry 5:
A relaxed PrNi2SbAs crystal, computed with PBE.

Structure (POSCAR):
```
PrNi2SbAs
1.0
4.376 0.000 0.000
0.000 4.376 0.000
0.000 0.000 9.723
Pr Ni As Sb
2 4 2 2
direct
0.500 0.000 0.740 Pr
0.000 0.500 0.260 Pr
0.000 0.000 0.000 Ni
0.500 0.500 0.000 Ni
0.000 0.500 0.603 Ni
0.500 0.000 0.397 Ni
0.000 0.000 0.500 As
0.500 0.500 0.500 As
0.500 0.000 0.134 Sb
0.000 0.500 0.866 Sb
```

Output
space group	No. 129
spin magnetization	0.000	μB per formula unit

Entry 6:
A relaxed Sm3AsN2 crystal, computed with PBE.

Structure (POSCAR):
```
Sm3AsN2
1.0
-2.281 1.832 2.264
-0.362 -3.657 -0.427
6.086 -1.456 7.310
Sm N As
3 2 1
direct
0.000 0.000 0.500 Sm
0.333 0.667 0.208 Sm
0.667 0.333 0.792 Sm
0.667 0.333 0.349 N
0.333 0.667 0.651 N
0.000 0.000 0.000 As
```

Output
space group	No. 164
spin magnetization	0.003	μB per formula unit

Entry 7:
A relaxed TcBr crystal, computed with PBE.

Structure (POSCAR):
```
TcBr
1.0
0.000 2.732 2.732
2.732 0.000 2.732
2.732 2.732 0.000
Tc Br
1 1
direct
0.500 0.500 0.500 Tc
0.000 0.000 0.000 Br
```

Output
energy relative to the lowest polymorph listed for this composition	323	meV per atom
space group	No. 225
spin magnetization	2.907	μB per formula unit

Entry 8:
A relaxed TaRe3 crystal, computed with PBE.

Structure (POSCAR):
```
TaRe3
1.0
5.179 0.000 0.000
-2.589 4.485 0.000
0.000 0.000 16.696
Re Ta
18 6
direct
0.333 0.667 0.123 Re
0.000 0.000 0.910 Re
0.667 0.333 0.623 Re
0.500 0.000 0.000 Re
0.500 0.500 0.500 Re
0.000 0.000 0.410 Re
0.500 0.500 0.000 Re
0.500 0.000 0.500 Re
0.000 0.000 0.590 Re
0.667 0.333 0.353 Re
0.667 0.333 0.877 Re
0.000 0.000 0.090 Re
0.333 0.667 0.647 Re
0.333 0.667 0.377 Re
0.000 0.500 0.000 Re
0.667 0.333 0.147 Re
0.000 0.500 0.500 Re
0.333 0.667 0.853 Re
0.163 0.327 0.250 Ta
0.327 0.163 0.750 Ta
0.673 0.837 0.250 Ta
0.163 0.837 0.250 Ta
0.837 0.163 0.750 Ta
0.837 0.673 0.750 Ta
```

Output
energy of formation from the pure elements	0.383	eV/atom
space group	No. 194
spin magnetization	0.000	μB per formula unit

no.,raw total energy (eV per cell)
1,-40.6
2,-57.3
3,-25.4
4,-90.0
5,-57.0
6,-43.6
7,-9.3
8,-285.5